[1]
VASP calculation (PBE) on an optimized crystal structure of Rb2Cd2Sb3.

a b c (Å): 13.103 13.103 7.610
angles (deg): 90.00 90.00 157.14
Fractional coordinates of all 14 atoms:
Rb  0.026  0.974  0.750
Rb  0.168  0.832  0.250
Rb  0.832  0.168  0.750
Rb  0.974  0.026  0.250
Cd  0.308  0.692  0.046
Cd  0.308  0.692  0.454
Cd  0.692  0.308  0.546
Cd  0.692  0.308  0.954
Sb  0.227  0.773  0.750
Sb  0.417  0.583  0.567
Sb  0.417  0.583  0.933
Sb  0.583  0.417  0.067
Sb  0.583  0.417  0.433
Sb  0.773  0.227  0.250

Properties
**DFT total energy**: -2.534 eV per atom
**DOS(E_F)**: 0.307 states/eV per atom
**Calculated volume**: 507.53 Å³ per cell
**Formation energy (no corrections)**: -0.229 eV per atom
**Crystal system**: orthorhombic

[2]
VASP calculation (PBE) on an optimized crystal structure of Li2TaBe.

a b c (Å): 5.711 5.711 4.596
angles (deg): 113.66 113.66 25.45
Fractional coordinates of all 4 atoms:
Li  0.213  0.213  0.213
Li  0.787  0.787  0.787
Ta  0.000  0.000  0.500
Be  0.500  0.500  0.000

Properties
**DFT total energy**: -4.526 eV per atom
**DOS(E_F)**: 0.741 states/eV per atom
**Calculated volume**: 58.71 Å³ per cell
**Formation enthalpy at 0 K**: 325 meV per atom
**Crystal system**: monoclinic

[3]
VASP calculation (PBE) on an optimized crystal structure of RbIn2S2.

a b c (Å): 7.361 7.361 6.541
angles (deg): 101.98 101.98 108.70
Fractional coordinates of all 10 atoms:
Rb  0.195  0.805  0.000
Rb  0.805  0.195  0.000
In  0.238  0.238  0.664
In  0.377  0.623  0.500
In  0.623  0.377  0.500
In  0.762  0.762  0.336
S  0.150  0.850  0.500
S  0.289  0.289  0.061
S  0.711  0.711  0.939
S  0.850  0.150  0.500

Properties
**DFT total energy**: -3.482 eV per atom
**DOS(E_F)**: 0.039 states/eV per atom
**Calculated volume**: 313.69 Å³ per cell
**Formation energy (no corrections)**: -0.542 eV per atom
**Crystal system**: monoclinic

[4]
VASP calculation (PBE) on an optimized crystal structure of CsRbIn.

a b c (Å): 6.947 5.069 11.146
angles (deg): 90.00 108.04 90.00
Fractional coordinates of all 6 atoms:
Cs  0.082  0.250  0.162
Cs  0.918  0.750  0.838
Rb  0.315  0.750  0.629
Rb  0.685  0.250  0.371
In  0.469  0.250  0.936
In  0.531  0.750  0.064

Properties
**DFT total energy**: -1.535 eV per atom
**DOS(E_F)**: 0.770 states/eV per atom
**Calculated volume**: 373.24 Å³ per cell
**Formation enthalpy at 0 K**: -15 meV per atom
**Crystal system**: monoclinic